# AgW3F

A relaxed AgW3F crystal (PBE with a Hubbard U, Alexandria).

As for the uncorrected energy: -3.87 eV per atom.

The structure belongs to space group Pm-3m (No. 221); the cell edges are 4.305, 4.305 and 4.305 Å and the angles 90.00°, 90.00° and 90.00°. The asymmetric unit holds Ag at (0.000, 0.000, 0.000), W at (0.000, 0.500, 0.500) and F at (0.500, 0.500, 0.500).